No. 1
{"formula": "VCoSn3", "functional": "PBE", "state": "relaxed", "lattice": [[4.8800, 0.0000, 0.0000], [0.0000, 4.8800, 0.0000], [0.0000, 0.0000, 4.8800]], "species": ["V", "Co", "Sn", "Sn", "Sn"], "fractional_positions": [[0.0000, 0.0000, 0.0000], [0.5000, 0.5000, 0.5000], [0.0000, 0.5000, 0.5000], [0.5000, 0.0000, 0.5000], [0.5000, 0.5000, 0.0000]], "total_energy_ev_per_atom": -5.111, "formation_enthalpy_0k_ev_per_atom": 0.5352, "polymorph_energy_ev_per_atom": 0.0000, "total_magnetization_mub_per_fu": 3.46}

No. 2
{"formula": "Pr2Nd6Y3Mg", "functional": "PBE", "state": "relaxed", "lattice": [[3.1424, -5.4466, 0.0000], [3.1424, 5.4466, 0.0000], [-2.1038, 0.0000, 11.7859]], "species": ["Pr", "Pr", "Nd", "Nd", "Nd", "Nd", "Nd", "Nd", "Y", "Y", "Y", "Mg"], "fractional_positions": [[0.1669, 0.8331, 0.0000], [0.8331, 0.1669, 0.0000], [0.0865, 0.4169, 0.7482], [0.2524, 0.2524, 0.2525], [0.4169, 0.0865, 0.7482], [0.5831, 0.9135, 0.2518], [0.7476, 0.7476, 0.7475], [0.9135, 0.5831, 0.2518], [0.0000, 0.0000, 0.5000], [0.3342, 0.6658, 0.5000], [0.6658, 0.3342, 0.5000], [0.5000, 0.5000, 0.0000]], "total_energy_ev_per_atom": -4.921, "formation_enthalpy_0k_ev_per_atom": 0.0082, "total_magnetization_mub_per_fu": 0.00}

No. 3
{"formula": "In2GePbSe6", "functional": "PBE", "state": "relaxed", "lattice": [[7.1039, -7.0787, 0.0000], [7.1039, 7.0787, 0.0000], [-2.8661, 0.0000, 6.7575]], "species": ["In", "In", "In", "In", "Ge", "Ge", "Pb", "Pb", "Se", "Se", "Se", "Se", "Se", "Se", "Se", "Se", "Se", "Se", "Se", "Se"], "fractional_positions": [[0.0137, 0.8287, 0.8857], [0.1713, 0.9863, 0.6143], [0.8287, 0.0137, 0.3857], [0.9863, 0.1713, 0.1143], [0.3336, 0.6664, 0.2500], [0.6664, 0.3336, 0.7500], [0.4108, 0.5892, 0.7500], [0.5892, 0.4108, 0.2500], [0.0528, 0.2010, 0.5068], [0.1321, 0.6149, 0.9615], [0.2010, 0.0528, 0.0068], [0.3083, 0.4445, 0.3026], [0.3851, 0.8679, 0.5385], [0.4445, 0.3083, 0.8026], [0.5555, 0.6917, 0.1974], [0.6149, 0.1321, 0.4615], [0.6917, 0.5555, 0.6974], [0.7990, 0.9472, 0.9932], [0.8679, 0.3851, 0.0385], [0.9472, 0.7990, 0.4932]], "total_energy_ev_per_atom": -3.876, "raw_formation_energy_mev_per_atom": -405, "total_magnetization_mub_per_fu": 0.00}

No. 4
{"formula": "Nd7TlI12", "functional": "PBE", "state": "relaxed", "lattice": [[8.1696, 4.7167, 3.5557], [-8.1696, 4.7167, 3.5557], [0.0000, -9.4335, 3.5557]], "species": ["Nd", "Nd", "Nd", "Nd", "Nd", "Nd", "Nd", "Tl", "I", "I", "I", "I", "I", "I", "I", "I", "I", "I", "I", "I"], "fractional_positions": [[0.0000, 0.0000, 0.0000], [0.1638, 0.4533, 0.3831], [0.3831, 0.1638, 0.4533], [0.4533, 0.3831, 0.1638], [0.5467, 0.6169, 0.8362], [0.6169, 0.8362, 0.5467], [0.8362, 0.5467, 0.6169], [0.5000, 0.5000, 0.5000], [0.0239, 0.1034, 0.3443], [0.1034, 0.3443, 0.0239], [0.1933, 0.5777, 0.7306], [0.2694, 0.8067, 0.4223], [0.3443, 0.0239, 0.1034], [0.4223, 0.2694, 0.8067], [0.5777, 0.7306, 0.1933], [0.6557, 0.9761, 0.8966], [0.7306, 0.1933, 0.5777], [0.8067, 0.4223, 0.2694], [0.8966, 0.6557, 0.9761], [0.9761, 0.8966, 0.6557]], "total_energy_ev_per_atom": -3.924, "raw_formation_energy_mev_per_atom": -1207, "total_magnetization_mub_per_fu": 0.00}

No. 5
{"formula": "Ta3BH2", "functional": "PBE", "state": "relaxed", "lattice": [[5.2004, 0.0000, 0.0000], [0.0000, 3.2502, 0.0000], [-2.5644, 0.0000, 8.0223]], "species": ["Ta", "Ta", "Ta", "Ta", "Ta", "Ta", "B", "B", "H", "H", "H", "H"], "fractional_positions": [[0.0260, 0.2500, 0.3533], [0.2320, 0.2500, 0.9640], [0.4656, 0.7500, 0.3178], [0.5344, 0.2500, 0.6822], [0.7680, 0.7500, 0.0360], [0.9740, 0.7500, 0.6467], [0.3831, 0.7500, 0.8242], [0.6169, 0.2500, 0.1758], [0.1329, 0.2500, 0.5847], [0.1630, 0.7500, 0.0880], [0.8370, 0.2500, 0.9120], [0.8671, 0.7500, 0.4153]], "total_energy_ev_per_atom": -8.423, "total_magnetization_mub_per_fu": 0.00}

No. 6
{"formula": "AlGe3Pt", "functional": "PBE", "state": "relaxed", "lattice": [[4.9098, 0.0000, 0.0000], [0.0000, 4.9098, 0.0000], [0.0000, 0.0000, 4.9098]], "species": ["Al", "Ge", "Ge", "Ge", "Pt"], "fractional_positions": [[0.0000, 0.0000, 0.0000], [0.0000, 0.5000, 0.5000], [0.5000, 0.0000, 0.5000], [0.5000, 0.5000, 0.0000], [0.5000, 0.5000, 0.5000]], "total_energy_ev_per_atom": -4.305, "formation_enthalpy_0k_ev_per_atom": 0.4223, "polymorph_energy_ev_per_atom": 0.0000, "total_magnetization_mub_per_fu": 0.00}

No. 7
{"formula": "Li2YBr", "functional": "PBE", "state": "relaxed", "lattice": [[3.5733, 0.0000, 0.0000], [0.0000, 3.5041, 0.0000], [-1.7747, 0.0000, 7.8329]], "species": ["Li", "Li", "Y", "Br"], "fractional_positions": [[0.0000, 0.0000, 0.0000], [0.3931, 0.5000, 0.7855], [0.7583, 0.0000, 0.5147], [0.1350, 0.5000, 0.2660]], "total_energy_ev_per_atom": -3.427, "raw_formation_energy_mev_per_atom": -436, "polymorph_energy_ev_per_atom": 0.0982, "total_magnetization_mub_per_fu": 0.09}

No. 8
{"formula": "PmUPdO6", "functional": "PBE", "state": "relaxed", "lattice": [[5.4172, 0.0000, 0.0000], [-2.7086, 4.6915, 0.0000], [0.0000, 0.0000, 10.4387]], "species": ["Pm", "Pm", "U", "U", "Pd", "Pd", "O", "O", "O", "O", "O", "O", "O", "O", "O", "O", "O", "O"], "fractional_positions": [[0.0000, 0.0000, 0.0000], [0.0000, 0.0000, 0.5000], [0.3333, 0.6667, 0.2500], [0.6667, 0.3333, 0.7500], [0.3333, 0.6667, 0.7500], [0.6667, 0.3333, 0.2500], [0.0045, 0.3519, 0.1379], [0.0045, 0.6526, 0.3621], [0.3474, 0.3519, 0.3621], [0.3474, 0.9955, 0.1379], [0.3519, 0.0045, 0.6379], [0.3519, 0.3474, 0.8621], [0.6481, 0.6526, 0.1379], [0.6481, 0.9955, 0.3621], [0.6526, 0.0045, 0.8621], [0.6526, 0.6481, 0.6379], [0.9955, 0.3474, 0.6379], [0.9955, 0.6481, 0.8621]], "total_energy_ev_per_atom": -8.058, "raw_formation_energy_mev_per_atom": -2393, "total_magnetization_mub_per_fu": 1.04}

No. 9
{"formula": "Ac5SnTe5", "functional": "PBE", "state": "relaxed", "lattice": [[7.5552, -3.3589, 0.0000], [7.5552, 3.3589, 0.0000], [-3.0053, 0.0000, 9.0404]], "species": ["Ac", "Ac", "Ac", "Ac", "Ac", "Sn", "Te", "Te", "Te", "Te", "Te"], "fractional_positions": [[0.0000, 0.0000, 0.0000], [0.3378, 0.3378, 0.6693], [0.3402, 0.3402, 0.1707], [0.6598, 0.6598, 0.8293], [0.6622, 0.6622, 0.3307], [0.5000, 0.5000, 0.0000], [0.1698, 0.1698, 0.3342], [0.1699, 0.1699, 0.8365], [0.5000, 0.5000, 0.5000], [0.8301, 0.8301, 0.1635], [0.8302, 0.8302, 0.6658]], "total_energy_ev_per_atom": -5.074, "raw_formation_energy_mev_per_atom": -1414, "total_magnetization_mub_per_fu": 0.00}

No. 10
{"formula": "ScBeAs", "functional": "PBE", "state": "relaxed", "lattice": [[0.0000, 2.7103, 4.7972], [1.9334, 0.0000, 4.7972], [1.9334, 2.7103, 0.0000]], "species": ["Sc", "Be", "As"], "fractional_positions": [[0.0000, 0.0000, 0.0000], [0.6905, 0.6905, 0.3095], [0.3060, 0.3060, 0.6940]], "total_energy_ev_per_atom": -5.216, "formation_enthalpy_0k_ev_per_atom": -0.3140, "polymorph_energy_ev_per_atom": 0.4359, "total_magnetization_mub_per_fu": 0.00}

No. 11
{"formula": "SmErMgAg", "functional": "PBE", "state": "relaxed", "lattice": [[3.7438, 0.0000, 0.0000], [0.0000, 3.7438, 0.0000], [0.0000, 0.0000, 7.3598]], "species": ["Sm", "Er", "Mg", "Ag"], "fractional_positions": [[0.0000, 0.0000, 0.0000], [0.0000, 0.0000, 0.4827], [0.5000, 0.5000, 0.7337], [0.5000, 0.5000, 0.2591]], "total_energy_ev_per_atom": -3.615, "formation_enthalpy_0k_ev_per_atom": -0.1834, "polymorph_energy_ev_per_atom": 0.0000, "total_magnetization_mub_per_fu": 0.00}

No. 12
{"formula": "Pm2Re2B2C", "functional": "PBE", "state": "relaxed", "lattice": [[5.4969, -1.8444, 0.0000], [5.4969, 1.8444, 0.0000], [-3.8678, 0.0000, 5.6210]], "species": ["Pm", "Pm", "Re", "Re", "B", "B", "C"], "fractional_positions": [[0.0736, 0.0736, 0.3289], [0.9264, 0.9264, 0.6711], [0.2975, 0.2975, 0.9100], [0.7025, 0.7025, 0.0900], [0.3172, 0.3172, 0.2554], [0.6828, 0.6828, 0.7446], [0.5000, 0.5000, 0.0000]], "total_energy_ev_per_atom": -8.486, "formation_enthalpy_0k_ev_per_atom": -0.3468, "total_magnetization_mub_per_fu": 0.00}

No. 13
{"formula": "Be2CdOs", "functional": "PBE", "state": "relaxed", "lattice": [[3.9878, -1.5413, 0.0000], [3.9878, 1.5413, 0.0000], [-1.1154, 0.0000, 4.5841]], "species": ["Be", "Be", "Cd", "Os"], "fractional_positions": [[0.2184, 0.2184, 0.1276], [0.7816, 0.7816, 0.8724], [0.0000, 0.0000, 0.5000], [0.5000, 0.5000, 0.0000]], "total_energy_ev_per_atom": -4.662, "formation_enthalpy_0k_ev_per_atom": 0.2374, "total_magnetization_mub_per_fu": 0.00}

No. 14
{"formula": "TlSiRu2", "functional": "PBE", "state": "relaxed", "lattice": [[2.9777, -4.1945, 0.0000], [2.9777, 4.1945, 0.0000], [-1.3987, 0.0000, 2.6398]], "species": ["Tl", "Si", "Ru", "Ru"], "fractional_positions": [[0.0000, 0.0000, 0.0000], [0.5000, 0.5000, 0.0000], [0.0000, 0.5000, 0.5000], [0.5000, 0.0000, 0.5000]], "total_energy_ev_per_atom": -6.080, "raw_formation_energy_mev_per_atom": 506, "polymorph_energy_ev_per_atom": 0.5311, "total_magnetization_mub_per_fu": 0.00}

No. 15
{"formula": "NdMn9Si4", "functional": "PBE", "state": "relaxed", "lattice": [[-3.9352, 3.9352, 5.8328], [3.9352, -3.9352, 5.8328], [3.9352, 3.9352, -5.8328]], "species": ["Nd", "Nd", "Mn", "Mn", "Mn", "Mn", "Mn", "Mn", "Mn", "Mn", "Mn", "Mn", "Mn", "Mn", "Mn", "Mn", "Mn", "Mn", "Mn", "Mn", "Si", "Si", "Si", "Si", "Si", "Si", "Si", "Si"], "fractional_positions": [[0.2500, 0.2500, 0.0000], [0.7500, 0.7500, 0.0000], [0.0000, 0.5000, 0.5000], [0.0574, 0.5574, 0.2628], [0.0578, 0.8089, 0.8667], [0.1911, 0.0578, 0.2488], [0.2054, 0.9426, 0.5000], [0.2946, 0.7946, 0.7372], [0.3089, 0.5578, 0.8667], [0.4422, 0.3089, 0.7512], [0.4426, 0.7054, 0.5000], [0.5000, 0.0000, 0.5000], [0.5574, 0.2946, 0.5000], [0.5578, 0.6911, 0.2488], [0.6911, 0.4422, 0.1333], [0.7054, 0.2054, 0.2628], [0.7946, 0.0574, 0.5000], [0.8089, 0.9422, 0.7512], [0.9422, 0.1911, 0.1333], [0.9426, 0.4426, 0.7372], [0.0549, 0.2019, 0.5000], [0.2019, 0.7019, 0.1470], [0.2981, 0.4451, 0.5000], [0.4451, 0.9451, 0.1470], [0.5549, 0.0549, 0.8530], [0.7019, 0.5549, 0.5000], [0.7981, 0.2981, 0.8530], [0.9451, 0.7981, 0.5000]], "total_energy_ev_per_atom": -8.163, "raw_formation_energy_mev_per_atom": -378, "total_magnetization_mub_per_fu": 6.53}

No. 16
{"formula": "TaTl2Cu", "functional": "PBE", "state": "relaxed", "lattice": [[-2.0332, 2.0332, 4.8807], [2.0332, -2.0332, 4.8807], [2.0332, 2.0332, -4.8807]], "species": ["Ta", "Tl", "Tl", "Cu"], "fractional_positions": [[0.0000, 0.0000, 0.0000], [0.2500, 0.7500, 0.5000], [0.5000, 0.5000, 0.0000], [0.7500, 0.2500, 0.5000]], "total_energy_ev_per_atom": -4.511, "formation_enthalpy_0k_ev_per_atom": 0.6593, "polymorph_energy_ev_per_atom": 0.2304, "total_magnetization_mub_per_fu": 0.00}

No. 17
{"formula": "Hf6InC", "functional": "PBE", "state": "relaxed", "lattice": [[4.2671, 2.4636, 2.5751], [-4.2671, 2.4636, 2.5751], [0.0000, -4.9273, 2.5751]], "species": ["Hf", "Hf", "Hf", "Hf", "Hf", "Hf", "In", "C"], "fractional_positions": [[0.0832, 0.7705, 0.6612], [0.2295, 0.3388, 0.9168], [0.3388, 0.9168, 0.2295], [0.6612, 0.0832, 0.7705], [0.7705, 0.6612, 0.0832], [0.9168, 0.2295, 0.3388], [0.5000, 0.5000, 0.5000], [0.0000, 0.0000, 0.0000]], "total_energy_ev_per_atom": -9.217, "formation_enthalpy_0k_ev_per_atom": -0.2565, "total_magnetization_mub_per_fu": 0.00}

No. 18
{"formula": "YHfTc2Au", "functional": "PBE", "state": "relaxed", "lattice": [[5.0164, 0.0000, 0.0000], [0.0000, 5.0164, 0.0000], [0.0000, 0.0000, 4.9057]], "species": ["Y", "Hf", "Tc", "Tc", "Au"], "fractional_positions": [[0.0000, 0.0000, 0.0000], [0.5000, 0.5000, 0.0000], [0.0000, 0.5000, 0.5000], [0.5000, 0.0000, 0.5000], [0.5000, 0.5000, 0.5000]], "total_energy_ev_per_atom": -6.844, "formation_enthalpy_0k_ev_per_atom": 1.2412, "total_magnetization_mub_per_fu": 2.43}

No. 19
{"formula": "PrMnGe2Pt5", "functional": "PBE", "state": "relaxed", "lattice": [[4.1265, 0.0000, 0.0000], [0.0000, 4.1265, 0.0000], [0.0000, 0.0000, 10.7349]], "species": ["Pr", "Mn", "Ge", "Ge", "Pt", "Pt", "Pt", "Pt", "Pt"], "fractional_positions": [[0.0000, 0.0000, 0.0000], [0.0000, 0.0000, 0.5000], [0.5000, 0.5000, 0.2259], [0.5000, 0.5000, 0.7741], [0.0000, 0.5000, 0.3509], [0.0000, 0.5000, 0.6491], [0.5000, 0.0000, 0.3509], [0.5000, 0.0000, 0.6491], [0.5000, 0.5000, 0.0000]], "total_energy_ev_per_atom": -6.423, "formation_enthalpy_0k_ev_per_atom": -0.4915, "total_magnetization_mub_per_fu": 4.35}

No. 20
{"formula": "TeBrCl2", "functional": "PBE", "state": "relaxed", "lattice": [[3.2568, -4.7022, 0.0000], [3.2568, 4.7022, 0.0000], [-0.0188, 0.0000, 3.5701]], "species": ["Te", "Br", "Cl", "Cl"], "fractional_positions": [[0.0000, 0.0000, 0.0000], [0.5000, 0.5000, 0.0000], [0.0000, 0.5000, 0.0000], [0.5000, 0.0000, 0.0000]], "total_energy_ev_per_atom": -1.962, "raw_formation_energy_mev_per_atom": 165, "polymorph_energy_ev_per_atom": 0.5683, "total_magnetization_mub_per_fu": 0.00}

No. 21
{"formula": "HfBPO2", "functional": "PBE", "state": "relaxed", "lattice": [[3.5960, 0.0000, 0.0000], [0.0000, 3.5960, 0.0000], [0.0000, 0.0000, 4.1411]], "species": ["Hf", "B", "P", "O", "O"], "fractional_positions": [[0.0000, 0.0000, 0.0000], [0.5000, 0.5000, 0.5000], [0.5000, 0.5000, 0.0000], [0.0000, 0.5000, 0.5000], [0.5000, 0.0000, 0.5000]], "total_energy_ev_per_atom": -7.015, "raw_formation_energy_mev_per_atom": -624, "polymorph_energy_ev_per_atom": 0.0000, "total_magnetization_mub_per_fu": 0.00}

No. 22
{"formula": "NbV2Cd", "functional": "PBE", "state": "relaxed", "lattice": [[-1.9385, 1.9385, 9.5100], [1.9385, -1.9385, 9.5100], [1.9385, 1.9385, -9.5100]], "species": ["Nb", "Nb", "V", "V", "V", "V", "Cd", "Cd"], "fractional_positions": [[0.0000, 0.0000, 0.0000], [0.7500, 0.2500, 0.5000], [0.1022, 0.6250, 0.9772], [0.3750, 0.3522, 0.4772], [0.6478, 0.1250, 0.0228], [0.8750, 0.8978, 0.5228], [0.2500, 0.7500, 0.5000], [0.5000, 0.5000, 0.0000]], "total_energy_ev_per_atom": -6.511, "formation_enthalpy_0k_ev_per_atom": 0.7947, "total_magnetization_mub_per_fu": 0.00}

No. 23
{"formula": "FeCuAuN", "functional": "PBE", "state": "relaxed", "lattice": [[2.8775, 0.0000, 0.0000], [-1.4387, 2.4920, 0.0000], [0.0000, 0.0000, 7.3377]], "species": ["Fe", "Cu", "Au", "N"], "fractional_positions": [[0.0000, 0.0000, 0.0000], [0.3333, 0.6667, 0.7221], [0.6667, 0.3333, 0.4295], [0.6667, 0.3333, 0.0770]], "total_energy_ev_per_atom": -5.885, "raw_formation_energy_mev_per_atom": 156, "polymorph_energy_ev_per_atom": 0.0725, "total_magnetization_mub_per_fu": 0.00}

No. 24
{"formula": "GaOs2S", "functional": "PBE", "state": "relaxed", "lattice": [[0.0000, 3.0263, 3.0263], [3.0263, 0.0000, 3.0263], [3.0263, 3.0263, 0.0000]], "species": ["Ga", "Os", "Os", "S"], "fractional_positions": [[0.0000, 0.0000, 0.0000], [0.2500, 0.2500, 0.2500], [0.7500, 0.7500, 0.7500], [0.5000, 0.5000, 0.5000]], "total_energy_ev_per_atom": -6.878, "raw_formation_energy_mev_per_atom": 525, "polymorph_energy_ev_per_atom": 0.0000, "total_magnetization_mub_per_fu": 0.00}